The following is a DFT calculation (GGA-PBE) of an optimized crystal structure of Pm3Al2Cd3.

Results
volume	411	Å³ per cell
DOS at the Fermi energy	11.838	states/eV/cell
energy	-54.3	eV/cell
total magnetization	0.0	μB/f.u.
symmetry	No. 63
formation energy	-0.34	eV per atom
ρ	6.67	g/cm³

Cell lengths 6.065, 6.065, 15.656 Å; angles 90.00, 90.00, 134.41 degrees
Atoms (fractional coordinates):
Pm 0.090 0.910 0.608
Pm 0.090 0.910 0.892
Pm 0.367 0.633 0.750
Pm 0.633 0.367 0.250
Pm 0.910 0.090 0.108
Pm 0.910 0.090 0.392
Al 0.204 0.796 0.104
Al 0.204 0.796 0.396
Al 0.796 0.204 0.604
Al 0.796 0.204 0.896
Cd 0.344 0.656 0.250
Cd 0.379 0.621 0.536
Cd 0.379 0.621 0.964
Cd 0.621 0.379 0.036
Cd 0.621 0.379 0.464
Cd 0.656 0.344 0.750